# HfAl2VO

An optimized crystal structure of HfAl2VO (GGA+U, the Alexandria database).

Geometry as extended XYZ:
```
5
Lattice="5.4869 0.0000 0.0000 0.0000 5.4869 0.0000 0.0000 0.0000 3.8734" Properties=species:S:1:pos:R:3 pbc="T T T"
Hf 0.0000 0.0000 0.0000
Al 0.0000 2.7435 0.0000
Al 2.7435 0.0000 0.0000
V 2.7435 2.7435 1.9367
O 0.0000 0.0000 1.9367
```

Summary:
electronic total energy = -5.6447 eV per atom
space group = P4/mmm
DOS at the Fermi energy = 3.0 states/eV/f.u.
total magnetic moment = 0.93 μB per cell
crystal system = tetragonal